Entry 1:
MgCuHg | PBE | optimized geometry

Unit cell a=4.418 b=4.418 c=4.418 alpha=60.00 beta=60.00 gamma=60.00
Fractional positions:
Mg  0.000  0.000  0.000
Cu  0.250  0.250  0.250
Hg  0.500  0.500  0.500

Calculated values
The space group is F-43m (216). The calculation puts the total energy at -0.147 Ry per atom.


Entry 2:
ZnCu2GeS4 | PBE | optimized geometry

Unit cell a=6.554 b=6.554 c=6.554 alpha=131.95 beta=131.95 gamma=70.31
Fractional positions:
Zn  0.000  0.000  0.000
Cu  0.250  0.750  0.500
Cu  0.750  0.250  0.500
Ge  0.500  0.500  0.000
S  0.130  0.615  0.000
S  0.385  0.385  0.515
S  0.615  0.130  0.000
S  0.870  0.870  0.485

Calculated values
The space group is I-42m (121). The calculation puts the total energy at -0.314 Ry per atom. As for the raw formation energy: -0.451 eV/atom.


Entry 3:
CdP2Au | PBE | optimized geometry

Unit cell a=2.801 b=5.086 c=5.117 alpha=90.00 beta=90.00 gamma=90.00
Fractional positions:
Cd  0.000  0.000  0.000
P  0.500  0.500  0.000
P  0.500  0.500  0.500
Au  0.500  0.000  0.500

Calculated values
The space group is Pmmm (47). The calculation puts the total energy at -0.260 Ry per atom.


Entry 4:
SrCaB2Ir | PBE | optimized geometry

Unit cell a=4.806 b=4.806 c=5.120 alpha=90.00 beta=90.00 gamma=90.00
Fractional positions:
Sr  0.000  0.000  0.000
Ca  0.500  0.500  0.500
B  0.000  0.500  0.500
B  0.500  0.000  0.500
Ir  0.500  0.500  0.000

Calculated values
The space group is P4/mmm (123). The calculation puts the total energy at -0.259 Ry per atom.


Entry 5:
AgPbSF | PBE | optimized geometry

Unit cell a=4.099 b=4.099 c=9.302 alpha=90.00 beta=90.00 gamma=90.00
Fractional positions:
Ag  0.250  0.750  0.000
Ag  0.750  0.250  0.000
Pb  0.250  0.250  0.335
Pb  0.750  0.750  0.665
S  0.250  0.250  0.810
S  0.750  0.750  0.190
F  0.250  0.750  0.500
F  0.750  0.250  0.500

Calculated values
The space group is P4/nmm (129). The calculation puts the total energy at -0.305 Ry per atom. As for the raw formation energy: -1.012 eV/atom.


Entry 6:
Ho2CuSe | PBE | optimized geometry

Unit cell a=7.511 b=7.511 c=7.511 alpha=30.25 beta=30.25 gamma=30.25
Fractional positions:
Ho  0.000  0.000  0.000
Ho  0.178  0.178  0.178
Cu  0.588  0.588  0.588
Se  0.757  0.757  0.757

Calculated values
The space group is R3m (160). The calculation puts the total energy at -0.371 Ry per atom. As for the raw formation energy: -0.867 eV/atom.


Entry 7:
PrThNi2 | PBE | optimized geometry

Unit cell a=7.171 b=7.171 c=7.171 alpha=32.39 beta=32.39 gamma=32.39
Fractional positions:
Pr  0.000  0.000  0.000
Th  0.500  0.500  0.500
Ni  0.245  0.245  0.245
Ni  0.755  0.755  0.755

Calculated values
The space group is R-3m (166). The calculation puts the total energy at -0.455 Ry per atom.


Entry 8:
La2Ge3PPt4 | PBE | optimized geometry

Unit cell a=4.453 b=4.453 c=9.821 alpha=90.00 beta=90.00 gamma=90.00
Fractional positions:
La  0.000  0.500  0.242
La  0.500  0.000  0.758
Ge  0.000  0.000  0.000
Ge  0.000  0.500  0.630
Ge  0.500  0.000  0.370
P  0.500  0.500  0.000
Pt  0.000  0.000  0.500
Pt  0.000  0.500  0.887
Pt  0.500  0.000  0.113
Pt  0.500  0.500  0.500

Calculated values
The space group is P-4m2 (115). The calculation puts the total energy at -0.464 Ry per atom.


Entry 9:
MgCrCo2 | PBE | optimized geometry

Unit cell a=4.995 b=4.995 c=4.995 alpha=147.31 beta=130.10 gamma=60.94
Fractional positions:
Mg  0.000  0.000  0.000
Cr  0.278  0.778  0.500
Co  0.511  0.511  0.000
Co  0.739  0.239  0.500

Calculated values
The space group is Imm2 (44). The calculation puts the total energy at -0.448 Ry per atom.


Entry 10:
MgZn2In | PBE | optimized geometry

Unit cell a=5.165 b=5.165 c=5.165 alpha=130.84 beta=130.84 gamma=72.07
Fractional positions:
Mg  0.000  0.000  0.000
Zn  0.250  0.750  0.500
Zn  0.750  0.250  0.500
In  0.500  0.500  0.000

Calculated values
The space group is I4/mmm (139). The calculation puts the total energy at -0.126 Ry per atom.


Entry 11:
Ca3Ga2Ni7 | PBE | optimized geometry

Unit cell a=8.455 b=8.455 c=8.455 alpha=35.88 beta=35.88 gamma=35.88
Fractional positions:
Ca  0.000  0.000  0.000
Ca  0.141  0.141  0.141
Ca  0.859  0.859  0.859
Ga  0.332  0.332  0.332
Ga  0.668  0.668  0.668
Ni  0.088  0.578  0.578
Ni  0.422  0.422  0.912
Ni  0.422  0.912  0.422
Ni  0.500  0.500  0.500
Ni  0.578  0.088  0.578
Ni  0.578  0.578  0.088
Ni  0.912  0.422  0.422

Calculated values
The space group is R-3m (166). The calculation puts the total energy at -0.346 Ry per atom.


Entry 12:
HoBeRu | PBE | optimized geometry

Unit cell a=5.116 b=5.116 c=5.116 alpha=119.57 beta=117.69 gamma=92.40
Fractional positions:
Ho  0.379  0.129  0.250
Ho  0.621  0.871  0.750
Be  0.000  0.000  0.500
Be  0.000  0.500  0.000
Ru  0.000  0.500  0.500
Ru  0.500  0.500  0.000

Calculated values
The space group is Imma (74). The calculation puts the total energy at -0.451 Ry per atom.


Entry 13:
Pr5As2Se2 | PBE | optimized geometry

Unit cell a=8.594 b=8.594 c=8.024 alpha=90.00 beta=90.00 gamma=55.35
Fractional positions:
Pr  0.000  0.000  0.000
Pr  0.025  0.706  0.656
Pr  0.206  0.525  0.156
Pr  0.294  0.975  0.656
Pr  0.475  0.794  0.156
Pr  0.500  0.500  0.500
Pr  0.525  0.206  0.844
Pr  0.706  0.025  0.344
Pr  0.794  0.475  0.844
Pr  0.975  0.294  0.344
As  0.145  0.855  0.356
As  0.355  0.645  0.856
As  0.645  0.355  0.144
As  0.855  0.145  0.644
Se  0.197  0.197  0.000
Se  0.303  0.303  0.500
Se  0.697  0.697  0.500
Se  0.803  0.803  0.000

Calculated values
The space group is Cmce (64). The calculation puts the total energy at -0.431 Ry per atom. As for the raw formation energy: -1.397 eV/atom.


Entry 14:
NaInC | PBE | optimized geometry

Unit cell a=5.799 b=6.368 c=7.896 alpha=90.00 beta=124.62 gamma=90.00
Fractional positions:
Na  0.146  0.058  0.380
Na  0.146  0.442  0.880
Na  0.854  0.558  0.120
Na  0.854  0.942  0.620
In  0.422  0.612  0.634
In  0.422  0.888  0.134
In  0.578  0.112  0.866
In  0.578  0.388  0.366
C  0.364  0.693  0.333
C  0.364  0.807  0.833
C  0.636  0.193  0.167
C  0.636  0.307  0.667

Calculated values
The space group is P2_1/c (14). The calculation puts the total energy at -0.267 Ry per atom.


Entry 15:
Li2AgHg2Pd2 | PBE | optimized geometry

Unit cell a=4.912 b=4.912 c=6.602 alpha=99.66 beta=99.66 gamma=49.56
Fractional positions:
Li  0.205  0.205  0.175
Li  0.795  0.795  0.825
Ag  0.500  0.500  0.000
Hg  0.088  0.088  0.724
Hg  0.912  0.912  0.276
Pd  0.363  0.363  0.577
Pd  0.637  0.637  0.423

Calculated values
The space group is C2/m (12). The calculation puts the total energy at -0.207 Ry per atom.


Entry 16:
Hf3AlH | PBE | optimized geometry

Unit cell a=5.090 b=5.869 c=5.801 alpha=90.00 beta=90.13 gamma=90.00
Fractional positions:
Hf  0.000  0.000  0.000
Hf  0.000  0.500  0.000
Hf  0.046  0.250  0.534
Hf  0.459  0.750  0.737
Hf  0.541  0.250  0.263
Hf  0.954  0.750  0.466
Al  0.458  0.750  0.225
Al  0.542  0.250  0.775
H  0.161  0.250  0.197
H  0.839  0.750  0.803

Calculated values
The space group is P2_1/m (11). The calculation puts the total energy at -0.555 Ry per atom.


Entry 17:
SrGaMo | PBE | optimized geometry

Unit cell a=3.943 b=3.943 c=9.490 alpha=90.00 beta=90.00 gamma=90.00
Fractional positions:
Sr  0.250  0.250  0.167
Sr  0.750  0.750  0.833
Ga  0.250  0.250  0.695
Ga  0.750  0.750  0.305
Mo  0.250  0.750  0.500
Mo  0.750  0.250  0.500

Calculated values
The space group is P4/nmm (129). The calculation puts the total energy at -0.383 Ry per atom.


Entry 18:
ScBi2H | PBE | optimized geometry

Unit cell a=5.089 b=5.089 c=5.089 alpha=60.00 beta=60.00 gamma=60.00
Fractional positions:
Sc  0.000  0.000  0.000
Bi  0.250  0.250  0.250
Bi  0.750  0.750  0.750
H  0.500  0.500  0.500

Calculated values
The space group is Fm-3m (225). The calculation puts the total energy at -0.298 Ry per atom.


Entry 19:
Si2WSe | PBE | optimized geometry

Unit cell a=6.749 b=6.749 c=6.749 alpha=128.53 beta=128.53 gamma=75.77
Fractional positions:
Si  0.111  0.625  0.986
Si  0.375  0.361  0.486
Si  0.639  0.125  0.014
Si  0.875  0.889  0.514
W  0.000  0.000  0.000
W  0.750  0.250  0.500
Se  0.250  0.750  0.500
Se  0.500  0.500  0.000

Calculated values
The space group is I-42d (122). The calculation puts the total energy at -0.445 Ry per atom. As for the raw formation energy: 0.764 eV/atom.


Entry 20:
Y3Ir | PBE | optimized geometry

Unit cell a=3.812 b=3.812 c=9.305 alpha=90.00 beta=90.00 gamma=120.00
Fractional positions:
Y  0.000  0.000  0.000
Y  0.333  0.667  0.314
Y  0.333  0.667  0.686
Ir  0.000  0.000  0.500

Calculated values
The space group is P-6m2 (187). The calculation puts the total energy at -0.540 Ry per atom.


Entry 21:
Tb8Hg4Se3S | PBE | optimized geometry

Unit cell a=8.869 b=8.869 c=8.869 alpha=53.38 beta=53.38 gamma=53.38
Fractional positions:
Tb  0.243  0.243  0.243
Tb  0.248  0.737  0.737
Tb  0.263  0.263  0.752
Tb  0.263  0.752  0.263
Tb  0.737  0.248  0.737
Tb  0.737  0.737  0.248
Tb  0.752  0.263  0.263
Tb  0.757  0.757  0.757
Hg  0.000  0.000  0.000
Hg  0.000  0.500  0.500
Hg  0.500  0.000  0.500
Hg  0.500  0.500  0.000
Se  0.000  0.000  0.500
Se  0.000  0.500  0.000
Se  0.500  0.000  0.000
S  0.500  0.500  0.500

Calculated values
The space group is R-3m (166). The calculation puts the total energy at -0.326 Ry per atom. As for the raw formation energy: -1.131 eV/atom.


Entry 22:
BaS2F | PBE | optimized geometry

Unit cell a=12.130 b=12.130 c=12.130 alpha=161.45 beta=161.45 gamma=26.36
Fractional positions:
Ba  0.000  0.000  0.000
Ba  0.750  0.250  0.500
S  0.238  0.625  0.113
S  0.375  0.488  0.613
S  0.512  0.125  0.887
S  0.875  0.762  0.387
F  0.250  0.750  0.500
F  0.500  0.500  0.000

Calculated values
The space group is I-42d (122). The calculation puts the total energy at -0.344 Ry per atom. As for the raw formation energy: -1.672 eV/atom.


Entry 23:
Cs3Rb2Br5 | PBE | optimized geometry

Unit cell a=8.850 b=8.850 c=12.504 alpha=118.11 beta=118.11 gamma=33.55
Fractional positions:
Cs  0.000  0.000  0.000
Cs  0.203  0.203  0.796
Cs  0.797  0.797  0.204
Rb  0.401  0.401  0.597
Rb  0.599  0.599  0.403
Br  0.000  0.000  0.500
Br  0.197  0.197  0.312
Br  0.403  0.403  0.108
Br  0.597  0.597  0.892
Br  0.803  0.803  0.688

Calculated values
The space group is C2/m (12). The calculation puts the total energy at -0.224 Ry per atom. As for the raw formation energy: -1.767 eV/atom.


Entry 24:
LaSnW2 | PBE | optimized geometry

Unit cell a=6.421 b=6.421 c=6.421 alpha=101.76 beta=101.76 gamma=126.32
Fractional positions:
La  0.000  0.000  0.000
La  0.750  0.250  0.500
Sn  0.250  0.750  0.500
Sn  0.500  0.500  0.000
W  0.168  0.125  0.543
W  0.375  0.832  0.957
W  0.582  0.625  0.457
W  0.875  0.418  0.043

Calculated values
The space group is I-42d (122). The calculation puts the total energy at -0.549 Ry per atom.


Entry 25:
SiHgSbI2 | PBE | optimized geometry

Unit cell a=5.608 b=5.608 c=5.422 alpha=90.00 beta=90.00 gamma=90.00
Fractional positions:
Si  0.000  0.000  0.000
Hg  0.500  0.500  0.500
Sb  0.000  0.000  0.500
I  0.000  0.500  0.000
I  0.500  0.000  0.000

Calculated values
The space group is P4/mmm (123). The calculation puts the total energy at -0.166 Ry per atom. As for the raw formation energy: 0.325 eV/atom.